## CrMoPt2 (GGA-PBE)

Data for a geometry-optimized CrMoPt2 structure.

extended XYZ file:
```
4
Lattice="3.2698 0.0000 0.0000 0.0000 3.2698 0.0000 0.0000 0.0000 5.6388" Properties=species:S:1:pos:R:3 pbc="T T T"
Cr 0.0000 0.0000 0.0000
Mo 1.6349 1.6349 1.4394
Pt 0.0000 0.0000 2.8511
Pt 1.6349 1.6349 4.4082
```

## Properties
Total magnetization ... 1.2 μB/f.u.
Polymorph energy (0 for the lowest one) ... 198 meV per atom
Crystal system ... tetragonal
Energy of formation ... -44 meV per atom
Symmetry ... No. 99
E_tot ... -8.1780 eV/atom
Volume ... 15.072 Å³/atom

---

## CrMoPt2 (GGA-PBE)

Data for a geometry-optimized CrMoPt2 structure.

extended XYZ file:
```
4
Lattice="2.7046 0.0000 0.0000 0.0000 2.7046 0.0000 0.0000 0.0000 7.9895" Properties=species:S:1:pos:R:3 pbc="T T T"
Cr 0.0000 0.0000 0.0000
Mo 0.0000 0.0000 3.9947
Pt 1.3523 1.3523 1.8927
Pt 1.3523 1.3523 6.0968
```

## Properties
Total magnetization ... 1.1 μB/f.u.
Polymorph energy (0 for the lowest one) ... 33 meV per atom
Crystal system ... tetragonal
Energy of formation ... -209 meV per atom
Symmetry ... No. 123
E_tot ... -8.3427 eV/atom
Volume ... 14.611 Å³/atom

---

## CrMo2Pt (GGA-PBE)

Data for a geometry-optimized CrMo2Pt structure.

extended XYZ file:
```
4
Lattice="1.3770 0.7950 9.2071 -1.3770 0.7950 9.2071 0.0000 -1.5900 9.2071" Properties=species:S:1:pos:R:3 pbc="T T T"
Cr 0.0000 0.0000 0.0000
Mo 0.0000 0.0000 13.8640
Mo 0.0000 0.0000 20.6086
Pt 0.0000 0.0000 7.0118
```

## Properties
Total magnetization ... 1.8 μB/f.u.
Polymorph energy (0 for the lowest one) ... 235 meV per atom
Crystal system ... trigonal
Energy of formation ... 182 meV per atom
Symmetry ... No. 160
E_tot ... -9.1498 eV/atom
Volume ... 15.118 Å³/atom

---

## CrMo2Pt (GGA-PBE)

Data for a geometry-optimized CrMo2Pt structure.

extended XYZ file:
```
4
Lattice="2.6764 0.0000 0.0000 0.0000 3.9629 0.0000 0.0000 0.0000 5.6274" Properties=species:S:1:pos:R:3 pbc="T T T"
Cr 0.0000 0.0000 0.0000
Mo 0.0000 0.0000 2.8348
Mo 1.3382 1.9814 1.3460
Pt 1.3382 1.9814 4.2822
```

## Properties
Total magnetization ... 0.8 μB/f.u.
Polymorph energy (0 for the lowest one) ... 127 meV per atom
Crystal system ... orthorhombic
Energy of formation ... 74 meV per atom
Symmetry ... No. 25
E_tot ... -9.2575 eV/atom
Volume ... 14.921 Å³/atom

---

## CrMo2Pt (GGA-PBE)

Data for a geometry-optimized CrMo2Pt structure.

extended XYZ file:
```
4
Lattice="-1.9494 1.9494 3.9144 1.9494 -1.9494 3.9144 1.9494 1.9494 -3.9144" Properties=species:S:1:pos:R:3 pbc="T T T"
Cr 0.0000 0.0000 0.0000
Mo 1.9494 0.0000 1.9572
Mo 0.0000 0.0000 3.9144
Pt 0.0000 1.9494 1.9572
```

## Properties
Total magnetization ... 0.9 μB/f.u.
Polymorph energy (0 for the lowest one) ... 70 meV per atom
Crystal system ... tetragonal
Energy of formation ... 17 meV per atom
Symmetry ... No. 119
E_tot ... -9.3145 eV/atom
Volume ... 14.875 Å³/atom

---

## CrMoPt2 (GGA-PBE)

Data for a geometry-optimized CrMoPt2 structure.

extended XYZ file:
```
4
Lattice="4.5516 -1.3510 0.0000 4.5516 1.3510 0.0000 -0.8566 0.0000 4.7767" Properties=species:S:1:pos:R:3 pbc="T T T"
Cr 0.0000 0.0000 0.0000
Mo 1.7391 0.0000 3.4604
Pt 4.1798 0.0000 2.3585
Pt 6.5896 0.0000 0.9916
```

## Properties
Total magnetization ... 0.0 μB/f.u.
Polymorph energy (0 for the lowest one) ... 80 meV per atom
Crystal system ... monoclinic
Energy of formation ... -162 meV per atom
Symmetry ... No. 8
E_tot ... -8.2955 eV/atom
Volume ... 14.687 Å³/atom